No. 1
First-principles (PBE-GGA) data for a relaxed Dy3Mg3Hg2Pd crystal, as listed in OQMD.

Cell: 7.6764 7.6764 4.1788 Å, 90.00 90.00 120.00°
Closest atoms and distances in Å follow each position.
Element x y z (fractional)
Dy 0.4020 0.0000 0.0000  1 Pd 3.09, 4 Hg 3.14, 4 Mg 3.40
Dy 0.0000 0.4020 0.0000  1 Pd 3.09, 4 Hg 3.14, 4 Mg 3.40
Dy 0.5980 0.5980 0.0000  1 Pd 3.09, 4 Hg 3.14, 4 Mg 3.40
Hg 0.6667 0.3333 0.5000  3 Mg 2.99, 6 Dy 3.14
Hg 0.3333 0.6667 0.5000  3 Mg 2.99, 6 Dy 3.14
Mg 0.7624 0.0000 0.5000  2 Pd 2.77, 2 Hg 2.99
Mg 0.2376 0.2376 0.5000  2 Pd 2.77, 2 Hg 2.99
Mg 0.0000 0.7624 0.5000  2 Pd 2.77, 2 Hg 2.99
Pd 0.0000 0.0000 0.0000  6 Mg 2.77, 3 Dy 3.09

Results
total moment = 0.21 μB/f.u.

---

No. 2
First-principles (PBE-GGA) data for a relaxed HfS2N crystal, as listed in OQMD.

Cell: 3.5289 3.5289 15.7459 Å, 90.00 90.00 120.00°
Closest atoms and distances in Å follow each position.
Element x y z (fractional)
Hf 0.6667 0.3333 0.2500  6 S 2.57
Hf 0.3333 0.6667 0.7500  6 S 2.57
N 0.0000 0.0000 0.0000  6 S 3.13
N 0.0000 0.0000 0.5000  6 S 3.13
S 0.3333 0.6667 0.1508  3 Hf 2.57
S 0.3333 0.6667 0.3492  3 Hf 2.57
S 0.6667 0.3333 0.6508  3 Hf 2.57
S 0.6667 0.3333 0.8492  3 Hf 2.57

Results
total moment = 3.01 μB/f.u.

---

No. 3
First-principles (PBE-GGA) data for a relaxed Ba2Au crystal, as listed in OQMD.

Cell: 4.9675 6.4889 6.4889 Å, 39.47 90.00 90.00°
Closest atoms and distances in Å follow each position.
Element x y z (fractional)
Au 0.0000 0.0162 0.0162  7 Ba 3.36-3.45
Ba 0.0000 0.2979 0.2979  3 Au 3.44-3.45
Ba 0.5000 0.5609 0.5609  4 Au 3.36

---

| no. | E (eV per atom) |
| --- | --- |
| 1 | -3.177 |
| 2 | -6.352 |
| 3 | -2.847 |